Record 1
The following is a PBE calculation of an optimized crystal structure of YRe2Ir, from Alexandria via LeMat-Bulk.

abc: 4.580 4.580 4.580
angles: 60.00 60.00 60.00
Fractional positions:
Y (0.000, 0.000, 0.000)
Re (0.250, 0.250, 0.250)
Re (0.750, 0.750, 0.750)
Ir (0.500, 0.500, 0.500)

Summary:
Fermi-level density of states = 6.74 states/eV per cell
Spin magnetization = 0.99 μB/f.u.
ΔE_f = 0.56 eV per atom
E above lowest polymorph = 2.18 eV per formula unit
Raw total energy = -37.96 eV for the cell shown

=====

Record 2
The following is a PBE calculation of an optimized crystal structure of YRe2Ir, from Alexandria via LeMat-Bulk.

abc: 9.598 9.598 9.598
angles: 17.26 17.26 17.26
Fractional positions:
Y (0.000, 0.000, 0.000)
Re (0.240, 0.240, 0.240)
Re (0.499, 0.499, 0.499)
Ir (0.756, 0.756, 0.756)

Summary:
Fermi-level density of states = 4.01 states/eV per cell
Spin magnetization = 0.00 μB/f.u.
ΔE_f = 0.30 eV per atom
E above lowest polymorph = 1.14 eV per formula unit
Raw total energy = -39.00 eV for the cell shown

=====

Record 3
The following is a PBE calculation of an optimized crystal structure of YRe2Ir, from Alexandria via LeMat-Bulk.

abc: 3.143 4.512 4.843
angles: 90.00 90.00 90.00
Fractional positions:
Y (0.000, 0.000, 0.000)
Re (0.000, 0.500, 0.500)
Re (0.500, 0.000, 0.500)
Ir (0.500, 0.500, 0.000)

Summary:
Fermi-level density of states = 3.37 states/eV per cell
Spin magnetization = 0.00 μB/f.u.
ΔE_f = 0.21 eV per atom
E above lowest polymorph = 0.74 eV per formula unit
Raw total energy = -39.40 eV for the cell shown

=====

Record 4
The following is a PBE calculation of an optimized crystal structure of YRe2Ir, from Alexandria via LeMat-Bulk.

abc: 5.170 5.170 2.799
angles: 90.00 90.00 114.70
Fractional positions:
Y (0.000, 0.000, 0.000)
Re (0.000, 0.500, 0.500)
Re (0.500, 0.000, 0.500)
Ir (0.500, 0.500, 0.000)

Summary:
Fermi-level density of states = 5.46 states/eV per cell
Spin magnetization = 0.00 μB/f.u.
ΔE_f = 0.40 eV per atom
E above lowest polymorph = 1.51 eV per formula unit
Raw total energy = -38.63 eV for the cell shown

=====

Record 5
The following is a PBE calculation of an optimized crystal structure of YRe2Ir, from Alexandria via LeMat-Bulk.

abc: 2.904 4.928 4.884
angles: 90.00 95.34 90.00
Fractional positions:
Y (0.000, 0.000, 0.000)
Re (0.323, 0.500, 0.747)
Re (0.677, 0.500, 0.253)
Ir (0.500, 0.000, 0.500)

Summary:
Fermi-level density of states = 4.18 states/eV per cell
Spin magnetization = 0.00 μB/f.u.
ΔE_f = 0.29 eV per atom
E above lowest polymorph = 1.07 eV per formula unit
Raw total energy = -39.07 eV for the cell shown

=====

Record 6
The following is a PBE calculation of an optimized crystal structure of YRe2Ir, from Alexandria via LeMat-Bulk.

abc: 2.932 4.395 5.576
angles: 90.00 102.16 90.00
Fractional positions:
Y (0.000, 0.000, 0.000)
Re (0.281, 0.500, 0.638)
Re (0.638, 0.000, 0.500)
Ir (0.582, 0.500, 0.208)

Summary:
Fermi-level density of states = 4.79 states/eV per cell
Spin magnetization = 0.00 μB/f.u.
ΔE_f = 0.12 eV per atom
E above lowest polymorph = 0.38 eV per formula unit
Raw total energy = -39.76 eV for the cell shown

=====

Record 7
The following is a PBE calculation of an optimized crystal structure of YRe2Ir, from Alexandria via LeMat-Bulk.

abc: 4.858 4.858 5.409
angles: 100.40 100.40 34.96
Fractional positions:
Y (0.000, 0.000, 0.000)
Re (0.231, 0.231, 0.647)
Re (0.494, 0.494, 0.508)
Ir (0.759, 0.759, 0.252)

Summary:
Fermi-level density of states = 2.72 states/eV per cell
Spin magnetization = 0.00 μB/f.u.
ΔE_f = 0.19 eV per atom
E above lowest polymorph = 0.68 eV per formula unit
Raw total energy = -39.46 eV for the cell shown

=====

Record 8
The following is a PBE calculation of an optimized crystal structure of Y2ReIr, from Alexandria via LeMat-Bulk.

abc: 4.786 4.786 4.786
angles: 60.00 60.00 60.00
Fractional positions:
Y (0.000, 0.000, 0.000)
Y (0.250, 0.250, 0.250)
Re (0.750, 0.750, 0.750)
Ir (0.500, 0.500, 0.500)

Summary:
Fermi-level density of states = 4.94 states/eV per cell
Spin magnetization = 0.00 μB/f.u.
ΔE_f = 0.17 eV per atom
Raw total energy = -33.57 eV for the cell shown

=====

Record 9
The following is a PBE calculation of an optimized crystal structure of YRe2Ir, from Alexandria via LeMat-Bulk.

abc: 5.522 5.522 5.522
angles: 147.32 128.34 62.48
Fractional positions:
Y (0.000, 0.000, 0.000)
Re (0.506, 0.506, 0.000)
Re (0.717, 0.217, 0.500)
Ir (0.276, 0.776, 0.500)

Summary:
Fermi-level density of states = 4.21 states/eV per cell
Spin magnetization = 0.00 μB/f.u.
ΔE_f = 0.23 eV per atom
E above lowest polymorph = 0.85 eV per formula unit
Raw total energy = -39.29 eV for the cell shown

=====

Record 10
The following is a PBE calculation of an optimized crystal structure of Y2ReIr, from Alexandria via LeMat-Bulk.

abc: 8.931 8.931 8.931
angles: 21.41 21.41 21.41
Fractional positions:
Y (0.250, 0.250, 0.250)
Y (0.750, 0.750, 0.750)
Re (0.000, 0.000, 0.000)
Ir (0.500, 0.500, 0.500)

Summary:
Fermi-level density of states = 4.79 states/eV per cell
Spin magnetization = 0.00 μB/f.u.
ΔE_f = 0.25 eV per atom
Raw total energy = -33.25 eV for the cell shown

=====

Record 11
The following is a PBE calculation of an optimized crystal structure of YRe2Ir2, from Alexandria via LeMat-Bulk.

abc: 6.415 6.415 6.415
angles: 143.62 143.62 52.39
Fractional positions:
Y (0.000, 0.000, 0.000)
Re (0.250, 0.750, 0.500)
Re (0.750, 0.250, 0.500)
Ir (0.393, 0.393, 0.000)
Ir (0.607, 0.607, 0.000)

Summary:
Fermi-level density of states = 6.02 states/eV per cell
Spin magnetization = 0.00 μB/f.u.
ΔE_f = -0.11 eV per atom
E above lowest polymorph = 0.27 eV per formula unit
Raw total energy = -49.62 eV for the cell shown

=====

Record 12
The following is a PBE calculation of an optimized crystal structure of YReIr2, from Alexandria via LeMat-Bulk.

abc: 4.891 4.891 5.301
angles: 98.95 98.95 33.80
Fractional positions:
Y (0.000, 0.000, 0.000)
Re (0.500, 0.500, 0.500)
Ir (0.244, 0.244, 0.704)
Ir (0.756, 0.756, 0.296)

Summary:
Fermi-level density of states = 3.15 states/eV per cell
Spin magnetization = 0.00 μB/f.u.
ΔE_f = 0.05 eV per atom
E above lowest polymorph = 1.18 eV per formula unit
Raw total energy = -36.43 eV for the cell shown